[1]
# PBE HgAsPtO, relaxed
data_HgAsPtO
_space_group_name_H-M_alt 'P m c 21'
_space_group_IT_number 26
_space_group_name_Hall 'P 2c -2'
_cell_length_a 3.972
_cell_length_b 6.633
_cell_length_c 6.128
_cell_angle_alpha 90.00
_cell_angle_beta 90.00
_cell_angle_gamma 90.00
loop_
_atom_site_label
_atom_site_type_symbol
_atom_site_fract_x
_atom_site_fract_y
_atom_site_fract_z
_atom_site_occupancy
Hg1 Hg 0.000 0.143 0.000 1
As1 As 0.500 0.364 0.826 1
Pt1 Pt 0.500 0.284 0.438 1
O1 O 0.000 0.211 0.409 1
# ΔE to the lowest computed polymorph = 1.05 eV per formula unit

[2]
# PBE HgAsSO, relaxed
data_HgAsSO
_space_group_name_H-M_alt 'P m c 21'
_space_group_IT_number 26
_space_group_name_Hall 'P 2c -2'
_cell_length_a 5.024
_cell_length_b 7.146
_cell_length_c 5.227
_cell_angle_alpha 90.00
_cell_angle_beta 90.00
_cell_angle_gamma 90.00
loop_
_atom_site_label
_atom_site_type_symbol
_atom_site_fract_x
_atom_site_fract_y
_atom_site_fract_z
_atom_site_occupancy
Hg1 Hg 0.000 0.237 0.000 1
As1 As 0.500 0.341 0.524 1
S1 S 0.000 0.255 0.498 1
O1 O 0.500 0.434 0.199 1
# ΔE to the lowest computed polymorph = 0.66 eV per formula unit

[3]
# PBE HgAsSO, relaxed
data_HgAsSO
_space_group_name_H-M_alt 'P 1 21/c 1'
_space_group_IT_number 14
_space_group_name_Hall '-P 2ybc'
_cell_length_a 5.762
_cell_length_b 8.061
_cell_length_c 7.411
_cell_angle_alpha 90.00
_cell_angle_beta 95.20
_cell_angle_gamma 90.00
loop_
_atom_site_label
_atom_site_type_symbol
_atom_site_fract_x
_atom_site_fract_y
_atom_site_fract_z
_atom_site_occupancy
Hg1 Hg 0.004 0.237 0.001 1
As1 As 0.492 0.007 0.309 1
S1 S 0.122 0.000 0.749 1
O1 O 0.493 0.653 0.993 1
# ΔE to the lowest computed polymorph = 0.76 eV per formula unit

[4]
# PBE HgAsSO, relaxed
data_HgAsSO
_space_group_name_H-M_alt 'P 1 21 1'
_space_group_IT_number 4
_space_group_name_Hall 'P 2yb'
_cell_length_a 5.386
_cell_length_b 6.792
_cell_length_c 10.050
_cell_angle_alpha 90.00
_cell_angle_beta 104.85
_cell_angle_gamma 90.00
loop_
_atom_site_label
_atom_site_type_symbol
_atom_site_fract_x
_atom_site_fract_y
_atom_site_fract_z
_atom_site_occupancy
Hg1 Hg 0.011 0.000 0.417 1
Hg2 Hg 0.460 0.000 0.597 1
As1 As 0.051 0.346 0.097 1
As2 As 0.458 0.342 0.899 1
S1 S 0.119 0.592 0.260 1
S2 S 0.410 0.581 0.729 1
O1 O 0.241 0.461 0.989 1
O2 O 0.253 0.961 0.995 1
# ΔE to the lowest computed polymorph = 0.00 eV per formula unit

[5]
# PBE HgAsSO, relaxed
data_HgAsSO
_space_group_name_H-M_alt 'P 4/n m m'
_space_group_IT_number 129
_cell_length_a 4.308
_cell_length_b 4.308
_cell_length_c 9.326
_cell_angle_alpha 90.00
_cell_angle_beta 90.00
_cell_angle_gamma 90.00
loop_
_space_group_symop_operation_xyz
'x,y,z'
'-x,-y,-z'
'-y+1/2,x,z'
'y+1/2,-x,-z'
'-x+1/2,-y+1/2,z'
'x+1/2,y+1/2,-z'
'y,-x+1/2,z'
'-y,x+1/2,-z'
'x+1/2,-y,-z'
'-x+1/2,y,z'
'-y,-x,-z'
'y,x,z'
'-x,y+1/2,-z'
'x,-y+1/2,z'
'y+1/2,x+1/2,-z'
'-y+1/2,-x+1/2,z'
loop_
_atom_site_label
_atom_site_type_symbol
_atom_site_fract_x
_atom_site_fract_y
_atom_site_fract_z
_atom_site_occupancy
Hg1 Hg 0.250 0.750 0.000 1
As1 As 0.250 0.250 0.454 1
S1 S 0.250 0.250 0.211 1
O1 O 0.250 0.750 0.500 1
# ΔE to the lowest computed polymorph = 1.35 eV per formula unit

[6]
# PBE HgAsSO, relaxed
data_HgAsSO
_space_group_name_H-M_alt 'P c a 21'
_space_group_IT_number 29
_space_group_name_Hall 'P 2c -2ac'
_cell_length_a 5.651
_cell_length_b 10.603
_cell_length_c 5.455
_cell_angle_alpha 90.00
_cell_angle_beta 90.00
_cell_angle_gamma 90.00
loop_
_atom_site_label
_atom_site_type_symbol
_atom_site_fract_x
_atom_site_fract_y
_atom_site_fract_z
_atom_site_occupancy
Hg1 Hg 0.051 0.073 0.000 1
As1 As 0.019 0.664 0.050 1
S1 S 0.070 0.668 0.612 1
O1 O 0.055 0.177 0.592 1
# ΔE to the lowest computed polymorph = 0.90 eV per formula unit

[7]
# PBE HgSbAsO, relaxed
data_HgSbAsO
_space_group_name_H-M_alt 'P 4/n m m'
_space_group_IT_number 129
_cell_length_a 4.080
_cell_length_b 4.080
_cell_length_c 9.312
_cell_angle_alpha 90.00
_cell_angle_beta 90.00
_cell_angle_gamma 90.00
loop_
_space_group_symop_operation_xyz
'x,y,z'
'-x,-y,-z'
'-y+1/2,x,z'
'y+1/2,-x,-z'
'-x+1/2,-y+1/2,z'
'x+1/2,y+1/2,-z'
'y,-x+1/2,z'
'-y,x+1/2,-z'
'x+1/2,-y,-z'
'-x+1/2,y,z'
'-y,-x,-z'
'y,x,z'
'-x,y+1/2,-z'
'x,-y+1/2,z'
'y+1/2,x+1/2,-z'
'-y+1/2,-x+1/2,z'
loop_
_atom_site_label
_atom_site_type_symbol
_atom_site_fract_x
_atom_site_fract_y
_atom_site_fract_z
_atom_site_occupancy
Hg1 Hg 0.250 0.750 0.000 1
Sb1 Sb 0.250 0.250 0.379 1
As1 As 0.250 0.250 0.788 1
O1 O 0.250 0.750 0.500 1
# ΔE to the lowest computed polymorph = 0.11 eV per formula unit

[8]
# PBE HgSbAsO, relaxed
data_HgSbAsO
_space_group_name_H-M_alt 'P 4/n m m'
_space_group_IT_number 129
_cell_length_a 4.744
_cell_length_b 4.744
_cell_length_c 8.606
_cell_angle_alpha 90.00
_cell_angle_beta 90.00
_cell_angle_gamma 90.00
loop_
_space_group_symop_operation_xyz
'x,y,z'
'-x,-y,-z'
'-y+1/2,x,z'
'y+1/2,-x,-z'
'-x+1/2,-y+1/2,z'
'x+1/2,y+1/2,-z'
'y,-x+1/2,z'
'-y,x+1/2,-z'
'x+1/2,-y,-z'
'-x+1/2,y,z'
'-y,-x,-z'
'y,x,z'
'-x,y+1/2,-z'
'x,-y+1/2,z'
'y+1/2,x+1/2,-z'
'-y+1/2,-x+1/2,z'
loop_
_atom_site_label
_atom_site_type_symbol
_atom_site_fract_x
_atom_site_fract_y
_atom_site_fract_z
_atom_site_occupancy
Hg1 Hg 0.250 0.250 0.019 1
Sb1 Sb 0.250 0.750 0.500 1
As1 As 0.250 0.250 0.664 1
O1 O 0.250 0.750 0.000 1
# ΔE to the lowest computed polymorph = 1.69 eV per formula unit

[9]
# PBE HgSbAsO, relaxed
data_HgSbAsO
_space_group_name_H-M_alt 'P m c 21'
_space_group_IT_number 26
_space_group_name_Hall 'P 2c -2'
_cell_length_a 3.848
_cell_length_b 7.175
_cell_length_c 6.882
_cell_angle_alpha 90.00
_cell_angle_beta 90.00
_cell_angle_gamma 90.00
loop_
_atom_site_label
_atom_site_type_symbol
_atom_site_fract_x
_atom_site_fract_y
_atom_site_fract_z
_atom_site_occupancy
Hg1 Hg 0.000 0.177 0.000 1
Sb1 Sb 0.500 0.383 0.550 1
As1 As 0.000 0.180 0.379 1
O1 O 0.500 0.261 0.809 1
# ΔE to the lowest computed polymorph = 0.00 eV per formula unit

[10]
# PBE HgSbAsO, relaxed
data_HgSbAsO
_space_group_name_H-M_alt 'P m c 21'
_space_group_IT_number 26
_space_group_name_Hall 'P 2c -2'
_cell_length_a 4.428
_cell_length_b 6.293
_cell_length_c 6.175
_cell_angle_alpha 90.00
_cell_angle_beta 90.00
_cell_angle_gamma 90.00
loop_
_atom_site_label
_atom_site_type_symbol
_atom_site_fract_x
_atom_site_fract_y
_atom_site_fract_z
_atom_site_occupancy
Hg1 Hg 0.000 0.201 0.000 1
Sb1 Sb 0.500 0.228 0.425 1
As1 As 0.500 0.346 0.846 1
O1 O 0.000 0.188 0.400 1
# ΔE to the lowest computed polymorph = 0.03 eV per formula unit

[11]
# PBE ScHgAsO, relaxed
data_ScHgAsO
_space_group_name_H-M_alt 'P 4/n m m'
_space_group_IT_number 129
_cell_length_a 3.984
_cell_length_b 3.984
_cell_length_c 9.048
_cell_angle_alpha 90.00
_cell_angle_beta 90.00
_cell_angle_gamma 90.00
loop_
_space_group_symop_operation_xyz
'x,y,z'
'-x,-y,-z'
'-y+1/2,x,z'
'y+1/2,-x,-z'
'-x+1/2,-y+1/2,z'
'x+1/2,y+1/2,-z'
'y,-x+1/2,z'
'-y,x+1/2,-z'
'x+1/2,-y,-z'
'-x+1/2,y,z'
'-y,-x,-z'
'y,x,z'
'-x,y+1/2,-z'
'x,-y+1/2,z'
'y+1/2,x+1/2,-z'
'-y+1/2,-x+1/2,z'
loop_
_atom_site_label
_atom_site_type_symbol
_atom_site_fract_x
_atom_site_fract_y
_atom_site_fract_z
_atom_site_occupancy
Sc1 Sc 0.250 0.250 0.095 1
Hg1 Hg 0.250 0.750 0.500 1
As1 As 0.250 0.250 0.722 1
O1 O 0.250 0.750 0.000 1
# ΔE to the lowest computed polymorph = 0.00 eV per formula unit

[12]
# PBE ScHgAsO, relaxed
data_ScHgAsO
_space_group_name_H-M_alt 'P 4/n m m'
_space_group_IT_number 129
_cell_length_a 5.508
_cell_length_b 5.508
_cell_length_c 4.840
_cell_angle_alpha 90.00
_cell_angle_beta 90.00
_cell_angle_gamma 90.00
loop_
_space_group_symop_operation_xyz
'x,y,z'
'-x,-y,-z'
'-y+1/2,x,z'
'y+1/2,-x,-z'
'-x+1/2,-y+1/2,z'
'x+1/2,y+1/2,-z'
'y,-x+1/2,z'
'-y,x+1/2,-z'
'x+1/2,-y,-z'
'-x+1/2,y,z'
'-y,-x,-z'
'y,x,z'
'-x,y+1/2,-z'
'x,-y+1/2,z'
'y+1/2,x+1/2,-z'
'-y+1/2,-x+1/2,z'
loop_
_atom_site_label
_atom_site_type_symbol
_atom_site_fract_x
_atom_site_fract_y
_atom_site_fract_z
_atom_site_occupancy
Sc1 Sc 0.250 0.750 0.000 1
Hg1 Hg 0.250 0.250 0.493 1
As1 As 0.250 0.250 0.993 1
O1 O 0.250 0.750 0.500 1
# ΔE to the lowest computed polymorph = 1.92 eV per formula unit